Below is LiRePt2 after structural relaxation, with properties calculated at the GGA-PBE level.

Lattice parameters (Å, degrees): 6.082 6.082 6.082 154.28 138.92 49.10
Element x y z (fractional)
Pt 0.730 0.230 0.500
Pt 0.957 0.957 0.000
Re 0.532 0.532 0.000
Li 0.281 0.781 0.500

Energy above the most stable polymorph in this dataset, eV/atom: 0.129
DFT formation energy, meV per atom: -167


Below is LiRePt2 after structural relaxation, with properties calculated at the GGA-PBE level.

Lattice parameters (Å, degrees): 2.682 5.100 5.296 54.77 90.00 90.00
Element x y z (fractional)
Li 0.000 0.000 0.500
Pt 0.000 0.000 0.000
Pt 0.500 0.500 0.000
Re 0.500 0.500 0.500

Energy above the most stable polymorph in this dataset, eV/atom: 0.257
DFT formation energy, meV per atom: -39


Below is LiRe4Pt after structural relaxation, with properties calculated at the GGA-PBE level.

Lattice parameters (Å, degrees): 5.164 5.164 5.164 60.00 60.00 60.00
Element x y z (fractional)
Re 0.625 0.625 0.126
Re 0.625 0.625 0.625
Re 0.126 0.625 0.625
Re 0.625 0.126 0.625
Pt 0.000 0.000 0.000
Li 0.250 0.250 0.250

DFT formation energy, meV per atom: 473


Below is LiRePt2 after structural relaxation, with properties calculated at the GGA-PBE level.

Lattice parameters (Å, degrees): 4.791 4.791 4.769 83.09 83.09 32.86
Element x y z (fractional)
Re 0.488 0.488 0.539
Pt 0.007 0.007 0.050
Pt 0.747 0.747 0.705
Li 0.258 0.258 0.206

Energy above the most stable polymorph in this dataset, eV/atom: 0.005
DFT formation energy, meV per atom: -291


Below is LiRePt2 after structural relaxation, with properties calculated at the GGA-PBE level.

Lattice parameters (Å, degrees): 3.893 3.893 8.872 77.33 77.33 90.00
Element x y z (fractional)
Pt 0.130 0.625 0.250
Pt 0.375 0.380 0.750
Pt 0.875 0.870 0.750
Pt 0.620 0.125 0.250
Re 0.750 0.250 0.500
Re 0.000 0.000 0.000
Li 0.250 0.750 0.500
Li 0.500 0.500 0.000

Energy above the most stable polymorph in this dataset, eV/atom: 0.666
DFT formation energy, meV per atom: 370


Below is LiRePt2 after structural relaxation, with properties calculated at the GGA-PBE level.

Lattice parameters (Å, degrees): 4.708 4.708 2.693 90.00 90.00 90.00
Element x y z (fractional)
Re 0.500 0.000 0.500
Li 0.000 0.500 0.500
Pt 0.000 0.000 0.000
Pt 0.500 0.500 0.000

Energy above the most stable polymorph in this dataset, eV/atom: 0.058
DFT formation energy, meV per atom: -238


Below is LiRePt2 after structural relaxation, with properties calculated at the GGA-PBE level.

Lattice parameters (Å, degrees): 4.673 4.673 4.673 130.37 130.38 72.81
Element x y z (fractional)
Li 0.250 0.750 0.500
Re 0.750 0.250 0.500
Pt 0.000 0.000 0.000
Pt 0.500 0.500 0.000

Energy above the most stable polymorph in this dataset, eV/atom: 0.212
DFT formation energy, meV per atom: -84


Below is LiRe3Pt after structural relaxation, with properties calculated at the GGA-PBE level.

Lattice parameters (Å, degrees): 4.796 4.796 4.796 90.00 90.00 90.00
Element x y z (fractional)
Re 0.000 0.000 0.500
Re 0.500 0.000 0.000
Re 0.000 0.500 0.000
Pt 0.000 0.000 0.000
Li 0.500 0.500 0.500

Energy above the most stable polymorph in this dataset, eV/atom: 1.201
DFT formation energy, meV per atom: 2345


Below is LiRePt2 after structural relaxation, with properties calculated at the GGA-PBE level.

Lattice parameters (Å, degrees): 4.335 4.335 4.335 60.00 60.00 60.00
Element x y z (fractional)
Pt 0.750 0.750 0.750
Pt 0.000 0.000 0.000
Li 0.500 0.500 0.500
Re 0.250 0.250 0.250

Energy above the most stable polymorph in this dataset, eV/atom: 0.362
DFT formation energy, meV per atom: 66


Below is LiRePt3 after structural relaxation, with properties calculated at the GGA-PBE level.

Lattice parameters (Å, degrees): 4.221 4.221 4.221 90.00 90.00 90.00
Element x y z (fractional)
Pt 0.500 0.000 0.000
Pt 0.000 0.500 0.000
Pt 0.000 0.000 0.500
Re 0.500 0.500 0.500
Li 0.000 0.000 0.000

Energy above the most stable polymorph in this dataset, eV/atom: 0.000
DFT formation energy, meV per atom: 750


Below is LiPt2Rh after structural relaxation, with properties calculated at the GGA-PBE level.

Lattice parameters (Å, degrees): 2.733 3.919 5.393 90.00 90.00 90.00
Element x y z (fractional)
Pt 0.000 0.000 0.997
Pt 0.000 0.000 0.503
Rh 0.500 0.500 0.250
Li 0.500 0.500 0.750

Energy above the most stable polymorph in this dataset, eV/atom: 0.130
DFT formation energy, meV per atom: -261


Below is LiPt2Rh after structural relaxation, with properties calculated at the GGA-PBE level.

Lattice parameters (Å, degrees): 3.284 3.284 5.419 90.00 90.00 90.00
Element x y z (fractional)
Pt 0.500 0.500 0.260
Pt 0.000 0.000 0.988
Rh 0.000 0.000 0.497
Li 0.500 0.500 0.754

Energy above the most stable polymorph in this dataset, eV/atom: 0.299
DFT formation energy, meV per atom: -92


The following uncorrected energy values (in eV for the cell shown) correspond, in order, to the records above: -27.1; -26.6; -54.9; -27.6; -49.9; -27.4; -26.8; -33.6; -26.2; -28.7; -22.4; -21.7.